Here is a relaxed structure of K3Pr2NpO6 from Alexandria. Energies are from GGA-PBE.

```
12
Lattice="3.1499 -5.4557 0.0000 3.1499 5.4557 0.0000 -2.1013 0.0000 6.3234" Properties=species:S:1:pos:R:3 pbc="T T T"
K 0.0000 0.0000 0.0000
K 3.1499 1.8057 0.0000
K 3.1499 -1.8057 0.0000
Pr 2.0993 3.6366 3.1617
Pr 2.0993 -3.6366 3.1617
Np 2.0993 0.0000 3.1617
O 1.0885 1.7502 1.9499
O 0.0781 0.0000 4.3698
O 1.0885 -1.7502 1.9499
O 3.1100 1.7502 4.3735
O 4.1204 0.0000 1.9536
O 3.1100 -1.7502 4.3735
```

Results
E_form (uncorrected)	-2.444	eV/atom
E	-7.07	eV per atom
total moment	4.01	μB per cell


Here is a relaxed structure of K2PrNpO6 from Alexandria. Energies are from GGA-PBE.

```
10
Lattice="0.0000 4.4073 4.4073 4.4073 0.0000 4.4073 4.4073 4.4073 0.0000" Properties=species:S:1:pos:R:3 pbc="T T T"
K 2.2037 2.2037 2.2037
K 6.6110 6.6110 6.6110
Pr 0.0000 0.0000 0.0000
Np 4.4073 4.4073 4.4073
O 4.4073 4.4073 2.3758
O 4.4073 2.3758 4.4073
O 6.4388 4.4073 4.4073
O 2.3758 4.4073 4.4073
O 4.4073 6.4388 4.4073
O 4.4073 4.4073 6.4388
```

Results
E_form (uncorrected)	-2.616	eV/atom
E	-7.58	eV per atom
total moment	0.00	μB per cell


Here is a relaxed structure of K2PrNp3O12 from Alexandria. Energies are from GGA-PBE.

```
18
Lattice="4.0934 2.3633 5.4435 -4.0934 2.3633 5.4435 0.0000 -4.7266 5.4435" Properties=species:S:1:pos:R:3 pbc="T T T"
K 0.0000 0.0000 1.9765
K 0.0000 0.0000 14.3542
Pr 0.0000 0.0000 8.1653
Np -2.0467 -1.1817 5.4435
Np -2.0467 1.1817 10.8871
Np 0.0000 2.3633 5.4435
O -2.1339 -1.2320 7.3451
O 0.0000 -1.7020 5.7184
O -1.4740 0.8510 5.7184
O 0.0000 -2.4640 8.9855
O -2.1338 1.2320 8.9855
O -1.4740 -0.8510 10.6122
O 1.4740 0.8510 5.7184
O 2.1339 -1.2320 7.3451
O 0.0000 2.4640 7.3451
O 1.4740 -0.8510 10.6122
O 0.0000 1.7021 10.6122
O 2.1338 1.2320 8.9855
```

Results
E_form (uncorrected)	-2.682	eV/atom
E	-8.53	eV per atom
total moment	2.00	μB per cell


Here is a relaxed structure of KPr2NpO6 from Alexandria. Energies are from GGA-PBE.

```
10
Lattice="3.0777 1.7769 5.3664 -3.0777 1.7769 5.3664 0.0000 -3.5538 5.3664" Properties=species:S:1:pos:R:3 pbc="T T T"
K 0.0000 0.0000 0.0000
Pr 0.0000 0.0000 4.1994
Pr 0.0000 0.0000 12.4835
Np 0.0000 0.0000 7.5627
O -1.5839 -0.2481 6.1462
O -1.0316 -1.6616 8.5573
O 1.0068 -1.2476 6.1462
O -0.9232 1.7241 8.5573
O 0.5771 1.4957 6.1462
O 1.9548 -0.0626 8.5573
```

Results
E_form (uncorrected)	-2.929	eV/atom
E	-8.26	eV per atom
total moment	2.00	μB per cell


Here is a relaxed structure of K2NpPt2O6 from Alexandria. Energies are from GGA-PBE.

```
11
Lattice="3.1239 1.8036 5.7977 -3.1239 1.8036 5.7977 0.0000 -3.6072 5.7977" Properties=species:S:1:pos:R:3 pbc="T T T"
K 0.0000 0.0000 3.7192
K 0.0000 0.0000 13.6738
Np 0.0000 0.0000 0.0000
Pt 0.0000 0.0000 7.1164
Pt 0.0000 0.0000 10.2765
O 0.0000 -1.9824 7.0920
O -1.7168 0.9912 7.0920
O -1.7168 -0.9912 10.3009
O 1.7168 0.9912 7.0920
O 1.7168 -0.9912 10.3009
O 0.0000 1.9824 10.3009
```

Results
E_form (uncorrected)	-1.389	eV/atom
E	-6.57	eV per atom
total moment	0.21	μB per cell


Here is a relaxed structure of KNpPtO6 from Alexandria. Energies are from GGA-PBE.

```
9
Lattice="5.3317 0.0000 0.0000 -2.6659 4.6174 0.0000 0.0000 0.0000 6.1923" Properties=species:S:1:pos:R:3 pbc="T T T"
K 0.0000 0.0000 0.0000
Np 0.0000 3.0783 3.0962
Pt 2.6659 1.5391 3.0962
O 4.3673 1.6676 4.2197
O 3.6278 2.9484 1.9727
O 1.9264 0.0014 4.2197
O 0.9644 1.6676 1.9727
O 3.4054 0.0014 1.9727
O 1.7039 2.9484 4.2197
```

Results
E_form (uncorrected)	-1.739	eV/atom
E	-7.28	eV per atom
total moment	0.04	μB per cell


Here is a relaxed structure of K2Np3PtO12 from Alexandria. Energies are from GGA-PBE.

```
18
Lattice="3.9220 2.2644 6.0079 -3.9220 2.2644 6.0079 0.0000 -4.5287 6.0079" Properties=species:S:1:pos:R:3 pbc="T T T"
K 0.0000 0.0000 2.5868
K 0.0000 0.0000 15.4368
Np -1.9610 -1.1322 6.0079
Np -1.9610 1.1322 12.0157
Np 0.0000 2.2644 6.0078
Pt 0.0000 0.0000 9.0118
O 0.0000 -1.7171 5.5036
O -1.4871 0.8586 5.5036
O -1.4587 -0.8422 7.9260
O 0.0000 -1.6844 10.0975
O -1.4587 0.8422 10.0975
O -1.4871 -0.8586 12.5199
O 1.4871 0.8586 5.5036
O 1.4587 -0.8422 7.9260
O 0.0000 1.6844 7.9260
O 1.4587 0.8422 10.0975
O 1.4871 -0.8586 12.5199
O 0.0000 1.7171 12.5199
```

Results
E_form (uncorrected)	-2.257	eV/atom
E	-8.18	eV per atom
total moment	3.00	μB per cell


Here is a relaxed structure of K2NpPtO6 from Alexandria. Energies are from GGA-PBE.

```
10
Lattice="-2.8674 2.8674 5.1181 2.8674 -2.8674 5.1181 2.8674 2.8674 -5.1181" Properties=species:S:1:pos:R:3 pbc="T T T"
K 2.8674 0.0000 2.5590
K 0.0000 2.8674 2.5590
Np 0.0000 0.0000 0.0000
Pt 0.0000 0.0000 5.1181
O 0.0000 0.0000 1.8872
O 1.4903 1.4903 0.0000
O 1.3771 -1.3771 5.1181
O -1.3771 1.3771 5.1181
O 1.3771 1.3771 5.1181
O 0.0000 0.0000 8.3489
```

Results
E_form (uncorrected)	-1.851	eV/atom
E	-6.94	eV per atom
total moment	0.68	μB per cell


Here is a relaxed structure of K2PuNpO6 from Alexandria. Energies are from GGA-PBE.

```
10
Lattice="0.0000 4.2928 4.2928 4.2928 0.0000 4.2928 4.2928 4.2928 0.0000" Properties=species:S:1:pos:R:3 pbc="T T T"
K 2.1464 2.1464 2.1464
K 6.4392 6.4392 6.4392
Pu 0.0000 0.0000 0.0000
Np 4.2928 4.2928 4.2928
O 4.2928 4.2928 2.1890
O 4.2928 2.1890 4.2928
O 6.3966 4.2928 4.2928
O 2.1890 4.2928 4.2928
O 4.2928 6.3966 4.2928
O 4.2928 4.2928 6.3966
```

Results
E_form (uncorrected)	-2.661	eV/atom
E	-8.58	eV per atom
total moment	5.00	μB per cell


Here is a relaxed structure of K4Pu3NpO12 from Alexandria. Energies are from GGA-PBE.

```
20
Lattice="-4.2881 4.2881 4.2881 4.2881 -4.2881 4.2881 4.2881 4.2881 -4.2881" Properties=species:S:1:pos:R:3 pbc="T T T"
K 2.1440 2.1440 -2.1440
K 2.1440 -2.1440 2.1440
K -2.1440 2.1440 2.1440
K 2.1440 2.1440 2.1440
Pu 4.2881 0.0000 0.0000
Pu 0.0000 4.2881 0.0000
Pu 0.0000 0.0000 4.2881
Np 0.0000 0.0000 0.0000
O 2.0951 0.0000 0.0000
O 6.4810 0.0000 0.0000
O 0.0000 2.0951 0.0000
O 0.0000 0.0000 2.0951
O 4.2881 2.1440 0.0000
O 4.2881 0.0000 2.1440
O 2.1440 4.2881 0.0000
O 2.1440 0.0000 4.2881
O 0.0000 4.2881 2.1440
O 0.0000 2.1440 4.2881
O 0.0000 6.4810 0.0000
O 0.0000 0.0000 6.4810
```

Results
E_form (uncorrected)	-2.623	eV/atom
E	-8.61	eV per atom
total moment	11.00	μB per cell


Here is a relaxed structure of K3Pu2NpO9 from Alexandria. Energies are from GGA-PBE.

```
15
Lattice="6.0677 0.0000 0.0000 -3.0339 5.2548 0.0000 0.0000 0.0000 7.4296" Properties=species:S:1:pos:R:3 pbc="T T T"
K 0.0000 0.0000 0.0000
K 0.0000 3.5032 4.9542
K 3.0339 1.7516 2.4754
Pu 0.0000 3.5032 1.2273
Pu 3.0339 1.7516 6.2023
Np 0.0000 0.0000 3.7148
O -1.5169 2.6274 0.0000
O 0.0000 1.7169 2.4994
O -1.5470 4.3963 2.4994
O 1.4869 0.8585 4.9301
O 3.0339 0.0000 0.0000
O 1.5169 2.6274 0.0000
O 1.5470 4.3963 2.4994
O 4.5808 0.8585 4.9301
O 3.0339 3.5379 4.9301
```

Results
E_form (uncorrected)	-2.634	eV/atom
E	-8.60	eV per atom
total moment	8.00	μB per cell


Here is a relaxed structure of K4Pu3NpO8 from Alexandria. Energies are from GGA-PBE.

```
16
Lattice="3.5712 2.0618 6.2780 -3.5712 2.0618 6.2780 0.0000 -4.1236 6.2780" Properties=species:S:1:pos:R:3 pbc="T T T"
K 0.0000 0.0000 0.0000
K -1.7856 -1.0309 6.2780
K -1.7856 1.0309 12.5561
K 0.0000 2.0618 6.2780
Pu -3.5712 0.0000 9.4170
Pu -1.7856 1.0309 3.1390
Pu 1.7856 1.0309 3.1390
Np 0.0000 0.0000 9.4171
O 0.0000 0.0000 4.3096
O -1.7458 -1.0079 10.5905
O 0.0000 -2.0159 8.2436
O -1.7458 1.0079 8.2436
O 1.7458 -1.0079 10.5905
O 0.0000 2.0159 10.5905
O 1.7458 1.0079 8.2436
O 0.0000 0.0000 14.5245
```

Results
E_form (uncorrected)	-2.363	eV/atom
E	-8.61	eV per atom
total moment	19.00	μB per cell


Here is a relaxed structure of K2PuNpO4 from Alexandria. Energies are from GGA-PBE.

```
8
Lattice="7.1843 0.0000 0.0000 0.0000 3.6592 0.0000 -2.6638 0.0000 6.7233" Properties=species:S:1:pos:R:3 pbc="T T T"
K 0.0000 0.0000 0.0000
K -1.3319 1.8296 3.3616
Pu 2.2603 0.0000 3.3616
Np 3.5921 1.8296 0.0000
O -0.8213 1.8296 5.9066
O 2.9260 0.0000 1.3358
O 1.5945 0.0000 5.3875
O 5.3419 1.8296 0.8167
```

Results
E_form (uncorrected)	-2.082	eV/atom
E	-8.24	eV per atom
total moment	8.12	μB per cell


Here is a relaxed structure of KPu2NpO8 from Alexandria. Energies are from GGA-PBE.

```
12
Lattice="5.2473 0.0000 0.0000 0.0000 6.9871 0.0000 -0.1620 0.0000 5.2483" Properties=species:S:1:pos:R:3 pbc="T T T"
K 0.0000 0.0000 0.0000
Pu 2.5426 1.7561 2.6242
Pu 2.5426 5.2310 2.6242
Np 0.0000 3.4935 0.0000
O 0.9918 2.0931 1.0138
O 0.9918 4.8940 1.0138
O 1.5545 3.4935 3.5753
O 1.6677 0.0000 3.4632
O 3.4176 0.0000 1.7852
O 3.5308 3.4935 1.6730
O 4.0935 2.0931 4.2345
O 4.0935 4.8940 4.2345
```

Results
E_form (uncorrected)	-2.686	eV/atom
E	-9.55	eV per atom
total moment	8.00	μB per cell


Here is a relaxed structure of KRbNpO4 from Alexandria. Energies are from GGA-PBE.

```
7
Lattice="-2.1736 2.1736 6.9044 2.1736 -2.1736 6.9044 2.1736 2.1736 -6.9044" Properties=species:S:1:pos:R:3 pbc="T T T"
K 0.0000 0.0000 0.0000
Rb 0.0000 0.0000 4.1740
Np 0.0000 0.0000 8.9356
O 2.1736 0.0000 2.0113
O 0.0000 0.0000 7.0074
O 0.0000 2.1736 2.0113
O 0.0000 0.0000 10.8704
```

Results
E_form (uncorrected)	-2.472	eV/atom
E	-7.45	eV per atom
total moment	1.00	μB per cell


Here is a relaxed structure of KRb3Np2O9 from Alexandria. Energies are from GGA-PBE.

```
15
Lattice="6.3085 0.0000 0.0000 -3.1543 5.4634 0.0000 0.0000 0.0000 7.9006" Properties=species:S:1:pos:R:3 pbc="T T T"
K 0.0000 0.0000 0.0000
Rb 0.0000 0.0000 3.9503
Rb 0.0000 3.6422 1.2027
Rb 3.1543 1.8211 6.6979
Np 0.0000 3.6422 5.1213
Np 3.1543 1.8211 2.7793
O -1.5771 2.7317 3.9503
O 0.0000 2.0596 6.2430
O -1.3706 4.4336 6.2430
O 1.7837 1.0298 1.6576
O 3.1543 0.0000 3.9503
O 1.5771 2.7317 3.9503
O 1.3706 4.4336 6.2430
O 4.5249 1.0298 1.6576
O 3.1543 3.4038 1.6576
```

Results
E_form (uncorrected)	-2.313	eV/atom
E	-7.28	eV per atom
total moment	0.00	μB per cell


Here is a relaxed structure of KRb2NpO4 from Alexandria. Energies are from GGA-PBE.

```
8
Lattice="6.5240 -1.7969 0.0000 6.5240 1.7969 0.0000 -1.4994 0.0000 6.4880" Properties=species:S:1:pos:R:3 pbc="T T T"
K 0.0000 0.0000 0.0000
Rb 2.2528 0.0000 4.8932
Rb 9.2958 0.0000 1.5948
Np 5.7743 0.0000 3.2440
O 0.5624 0.0000 2.6688
O 4.9496 0.0000 1.4028
O 6.5990 0.0000 5.0852
O 10.9861 0.0000 3.8192
```

Results
E_form (uncorrected)	-2.176	eV/atom
E	-6.65	eV per atom
total moment	2.00	μB per cell


Here is a relaxed structure of K2Rb2NpO6 from Alexandria. Energies are from GGA-PBE.

```
11
Lattice="3.4210 -5.4378 0.0000 3.4210 5.4378 0.0000 -2.4690 0.0000 6.3111" Properties=species:S:1:pos:R:3 pbc="T T T"
K 3.4210 3.7527 0.0000
K 3.4210 -3.7527 0.0000
Rb 2.1865 1.9796 3.1555
Rb 2.1865 -1.9796 3.1555
Np 3.4210 0.0000 0.0000
O 0.1620 1.4557 5.1714
O 1.7833 0.0000 1.1642
O 0.1620 -1.4557 5.1714
O 4.2110 1.4557 1.1396
O 2.5896 0.0000 5.1469
O 4.2110 -1.4557 1.1396
```

Results
E_form (uncorrected)	-1.962	eV/atom
E	-6.22	eV per atom
total moment	1.17	μB per cell


Here is a relaxed structure of K2RbNpO6 from Alexandria. Energies are from GGA-PBE.

```
10
Lattice="3.1903 1.8419 5.8758 -3.1903 1.8419 5.8758 0.0000 -3.6838 5.8758" Properties=species:S:1:pos:R:3 pbc="T T T"
K 0.0000 0.0000 3.8270
K 0.0000 0.0000 13.8004
Rb 0.0000 0.0000 0.0000
Np 0.0000 0.0000 8.8137
O -0.4498 -1.5879 7.7598
O -1.6001 -0.4044 9.8676
O -1.1503 1.1835 7.7598
O 1.1503 -1.1835 9.8676
O 1.6001 0.4044 7.7599
O 0.4498 1.5879 9.8676
```

Results
E_form (uncorrected)	-1.860	eV/atom
E	-6.45	eV per atom
total moment	2.13	μB per cell


Here is a relaxed structure of KRb2NpO6 from Alexandria. Energies are from GGA-PBE.

```
10
Lattice="0.0000 4.6068 4.6068 4.6068 0.0000 4.6068 4.6068 4.6068 0.0000" Properties=species:S:1:pos:R:3 pbc="T T T"
K 0.0000 0.0000 0.0000
Rb 2.3034 2.3034 2.3034
Rb 6.9102 6.9102 6.9102
Np 4.6068 4.6068 4.6068
O 4.6068 4.6068 2.6471
O 4.6068 2.6471 4.6068
O 6.5664 4.6068 4.6068
O 2.6471 4.6068 4.6068
O 4.6068 6.5664 4.6068
O 4.6068 4.6068 6.5664
```

Results
E_form (uncorrected)	-1.880	eV/atom
E	-6.45	eV per atom
total moment	2.09	μB per cell